# Re2AsP

Crystalline Re2AsP at its relaxed geometry (GGA-PBE, Alexandria via LeMat-Bulk).

Cell: 10.064 10.064 10.064 Å, 16.67 16.67 16.67°
Element x y z (fractional)
Re 0.255 0.255 0.255
Re 0.997 0.997 0.997
P 0.723 0.723 0.723
As 0.524 0.524 0.524

Results
* calculated formation energy: 0.077 eV per atom
* calculated total energy: -8.6620 eV/atom
* energy relative to the lowest polymorph listed for this composition: 0.124 eV/atom
* volume: 73.1 Å³/cell